[1]
A plane-wave DFT calculation with PBE-GGA was carried out for a geometry-optimized SnHg4Pb4 structure.

## Properties
Density of states at the Fermi level   3.799 states/eV/cell
E   -2.187 eV/atom
Space-group type   No. 87

a b c (Å): 8.667 8.667 8.667
angles (deg): 92.43 92.43 156.23
Atoms (fractional coordinates):
1 Sn 0.000 0.000 0.000
2 Hg 0.035 0.657 0.692
3 Hg 0.343 0.035 0.378
4 Hg 0.657 0.965 0.622
5 Hg 0.965 0.343 0.308
6 Pb 0.315 0.642 0.957
7 Pb 0.358 0.315 0.673
8 Pb 0.642 0.685 0.327
9 Pb 0.685 0.358 0.043

[2]
A plane-wave DFT calculation with PBE-GGA was carried out for a geometry-optimized Sn2HgPb structure.

## Properties
Density of states at the Fermi level   4.393 states/eV/cell
Energy above the most stable polymorph in this dataset   46 meV/atom
Space-group type   No. 122

a b c (Å): 11.982 11.982 11.982
angles (deg): 158.44 158.44 30.67
Atoms (fractional coordinates):
1 Sn 0.117 0.625 0.992
2 Sn 0.375 0.367 0.492
3 Sn 0.633 0.125 0.008
4 Sn 0.875 0.883 0.508
5 Hg 0.000 0.000 0.000
6 Hg 0.750 0.250 0.500
7 Pb 0.250 0.750 0.500
8 Pb 0.500 0.500 0.000

[3]
A plane-wave DFT calculation with PBE-GGA was carried out for a geometry-optimized SnHg2Pb structure.

## Properties
Density of states at the Fermi level   1.970 states/eV/cell
E   -2.011 eV/atom
Space-group type   No. 123

a b c (Å): 5.021 5.021 4.309
angles (deg): 90.00 90.00 90.00
Atoms (fractional coordinates):
1 Sn 0.000 0.000 0.000
2 Hg 0.000 0.500 0.500
3 Hg 0.500 0.000 0.500
4 Pb 0.500 0.500 0.000

[4]
A plane-wave DFT calculation with PBE-GGA was carried out for a geometry-optimized Sn5HgPb6 structure.

## Properties
Density of states at the Fermi level   6.403 states/eV/cell
E   -3.503 eV/atom
Space-group type   No. 12

a b c (Å): 7.937 7.937 5.808
angles (deg): 100.21 100.21 86.06
Atoms (fractional coordinates):
1 Sn 0.000 0.000 0.000
2 Sn 0.164 0.836 0.500
3 Sn 0.329 0.671 0.000
4 Sn 0.671 0.329 0.000
5 Sn 0.836 0.164 0.500
6 Hg 0.500 0.500 0.500
7 Pb 0.087 0.417 0.251
8 Pb 0.253 0.253 0.750
9 Pb 0.417 0.087 0.251
10 Pb 0.583 0.913 0.749
11 Pb 0.747 0.747 0.250
12 Pb 0.913 0.583 0.749

[5]
A plane-wave DFT calculation with PBE-GGA was carried out for a geometry-optimized SnHgPb2 structure.

## Properties
Density of states at the Fermi level   2.533 states/eV/cell
Energy above the most stable polymorph in this dataset   16 meV/atom
Space-group type   No. 123

a b c (Å): 3.794 3.794 8.116
angles (deg): 90.00 90.00 90.00
Atoms (fractional coordinates):
1 Sn 0.000 0.000 0.000
2 Hg 0.000 0.000 0.500
3 Pb 0.500 0.500 0.246
4 Pb 0.500 0.500 0.754

[6]
A plane-wave DFT calculation with PBE-GGA was carried out for a geometry-optimized Sn6Hg2Pb structure.

## Properties
Density of states at the Fermi level   7.996 states/eV/cell
E   -3.064 eV/atom
Space-group type   No. 15

a b c (Å): 14.769 14.769 3.334
angles (deg): 96.36 96.36 130.42
Atoms (fractional coordinates):
1 Sn 0.072 0.176 0.000
2 Sn 0.126 0.619 0.266
3 Sn 0.176 0.072 0.500
4 Sn 0.322 0.422 0.020
5 Sn 0.381 0.874 0.234
6 Sn 0.422 0.322 0.520
7 Sn 0.578 0.678 0.480
8 Sn 0.619 0.126 0.766
9 Sn 0.678 0.578 0.980
10 Sn 0.824 0.928 0.500
11 Sn 0.874 0.381 0.734
12 Sn 0.928 0.824 0.000
13 Hg 0.012 0.710 0.559
14 Hg 0.290 0.988 0.941
15 Hg 0.710 0.012 0.059
16 Hg 0.988 0.290 0.441
17 Pb 0.354 0.646 0.750
18 Pb 0.646 0.354 0.250

[7]
A plane-wave DFT calculation with PBE-GGA was carried out for a geometry-optimized SnHgPb structure.

## Properties
Density of states at the Fermi level   1.313 states/eV/cell
Energy above the most stable polymorph in this dataset   24 meV/atom
Space-group type   No. 107

a b c (Å): 6.684 6.684 6.684
angles (deg): 147.86 147.86 46.09
Atoms (fractional coordinates):
1 Sn 0.000 0.000 0.000
2 Hg 0.346 0.346 0.000
3 Pb 0.673 0.673 0.000

[8]
A plane-wave DFT calculation with PBE-GGA was carried out for a geometry-optimized Sn2Hg2Pb structure.

## Properties
Density of states at the Fermi level   4.280 states/eV/cell
Energy above the most stable polymorph in this dataset   41 meV/atom
Space-group type   No. 127

a b c (Å): 8.600 8.600 3.796
angles (deg): 90.00 90.00 90.00
Atoms (fractional coordinates):
1 Sn 0.132 0.368 0.000
2 Sn 0.368 0.868 0.000
3 Sn 0.632 0.132 0.000
4 Sn 0.868 0.632 0.000
5 Hg 0.168 0.668 0.500
6 Hg 0.332 0.168 0.500
7 Hg 0.668 0.832 0.500
8 Hg 0.832 0.332 0.500
9 Pb 0.000 0.000 0.000
10 Pb 0.500 0.500 0.000

[9]
A plane-wave DFT calculation with PBE-GGA was carried out for a geometry-optimized SnHgPb3 structure.

## Properties
Density of states at the Fermi level   4.659 states/eV/cell
Energy above the most stable polymorph in this dataset   0 meV/atom
Space-group type   No. 11

a b c (Å): 8.607 3.570 9.802
angles (deg): 90.00 101.35 90.00
Atoms (fractional coordinates):
1 Sn 0.048 0.250 0.148
2 Sn 0.952 0.750 0.852
3 Hg 0.236 0.250 0.744
4 Hg 0.764 0.750 0.256
5 Pb 0.153 0.750 0.447
6 Pb 0.334 0.750 0.034
7 Pb 0.462 0.250 0.341
8 Pb 0.538 0.750 0.659
9 Pb 0.666 0.250 0.966
10 Pb 0.847 0.250 0.553

[10]
A plane-wave DFT calculation with PBE-GGA was carried out for a geometry-optimized SnHg2Pb8 structure.

## Properties
Density of states at the Fermi level   5.682 states/eV/cell
Energy above the most stable polymorph in this dataset   0 meV/atom
Space-group type   No. 12

a b c (Å): 9.039 9.039 4.984
angles (deg): 105.80 105.80 62.12
Atoms (fractional coordinates):
1 Sn 0.000 0.000 0.000
2 Hg 0.322 0.322 0.322
3 Hg 0.678 0.678 0.678
4 Pb 0.106 0.573 0.841
5 Pb 0.157 0.157 0.653
6 Pb 0.283 0.717 0.500
7 Pb 0.427 0.894 0.159
8 Pb 0.573 0.106 0.841
9 Pb 0.717 0.283 0.500
10 Pb 0.843 0.843 0.347
11 Pb 0.894 0.427 0.159

[11]
A plane-wave DFT calculation with PBE-GGA was carried out for a geometry-optimized SnHg8Pb5 structure.

## Properties
Density of states at the Fermi level   7.238 states/eV/cell
E   -1.681 eV/atom
Space-group type   No. 82

a b c (Å): 9.862 9.862 9.862
angles (deg): 137.92 137.92 61.02
Atoms (fractional coordinates):
1 Sn 0.000 0.000 0.000
2 Hg 0.005 0.811 0.604
3 Hg 0.165 0.416 0.691
4 Hg 0.189 0.793 0.194
5 Hg 0.207 0.400 0.396
6 Hg 0.526 0.835 0.251
7 Hg 0.584 0.275 0.749
8 Hg 0.600 0.995 0.806
9 Hg 0.725 0.474 0.309
10 Pb 0.190 0.085 0.695
11 Pb 0.390 0.496 0.305
12 Pb 0.504 0.810 0.894
13 Pb 0.750 0.250 0.500
14 Pb 0.915 0.610 0.106

[12]
A plane-wave DFT calculation with PBE-GGA was carried out for a geometry-optimized SnHgPb3 structure.

## Properties
Density of states at the Fermi level   4.720 states/eV/cell
Energy above the most stable polymorph in this dataset   470 meV/atom
Space-group type   No. 221

a b c (Å): 5.714 5.714 5.714
angles (deg): 90.00 90.00 90.00
Atoms (fractional coordinates):
1 Sn 0.000 0.000 0.000
2 Hg 0.500 0.500 0.500
3 Pb 0.000 0.500 0.500
4 Pb 0.500 0.000 0.500
5 Pb 0.500 0.500 0.000

[13]
A plane-wave DFT calculation with PBE-GGA was carried out for a geometry-optimized Sn4HgPb15 structure.

## Properties
Density of states at the Fermi level   12.748 states/eV/cell
E   -3.544 eV/atom
Space-group type   No. 123

a b c (Å): 5.982 5.982 17.259
angles (deg): 90.00 90.00 90.00
Atoms (fractional coordinates):
1 Sn 0.000 0.000 0.104
2 Sn 0.000 0.000 0.303
3 Sn 0.000 0.000 0.697
4 Sn 0.000 0.000 0.896
5 Hg 0.000 0.000 0.500
6 Pb 0.000 0.500 0.000
7 Pb 0.000 0.500 0.199
8 Pb 0.000 0.500 0.397
9 Pb 0.000 0.500 0.603
10 Pb 0.000 0.500 0.801
11 Pb 0.500 0.000 0.000
12 Pb 0.500 0.000 0.199
13 Pb 0.500 0.000 0.397
14 Pb 0.500 0.000 0.603
15 Pb 0.500 0.000 0.801
16 Pb 0.500 0.500 0.101
17 Pb 0.500 0.500 0.300
18 Pb 0.500 0.500 0.500
19 Pb 0.500 0.500 0.700
20 Pb 0.500 0.500 0.899

[14]
A plane-wave DFT calculation with PBE-GGA was carried out for a geometry-optimized Sn2Hg2Pb structure.

## Properties
Density of states at the Fermi level   2.585 states/eV/cell
Energy above the most stable polymorph in this dataset   86 meV/atom
Space-group type   No. 139

a b c (Å): 7.870 7.870 7.870
angles (deg): 146.92 146.92 47.48
Atoms (fractional coordinates):
1 Sn 0.250 0.750 0.500
2 Sn 0.750 0.250 0.500
3 Hg 0.098 0.098 0.000
4 Hg 0.902 0.902 0.000
5 Pb 0.500 0.500 0.000

[15]
A plane-wave DFT calculation with PBE-GGA was carried out for a geometry-optimized Sn3Hg2Pb4 structure.

## Properties
Density of states at the Fermi level   4.297 states/eV/cell
E   -2.993 eV/atom
Space-group type   No. 12

a b c (Å): 5.552 5.552 9.791
angles (deg): 90.05 90.05 60.08
Atoms (fractional coordinates):
1 Sn 0.000 0.000 0.000
2 Sn 0.333 0.333 0.532
3 Sn 0.667 0.667 0.468
4 Hg 0.333 0.333 0.213
5 Hg 0.667 0.667 0.787
6 Pb 0.001 0.001 0.670
7 Pb 0.334 0.334 0.872
8 Pb 0.666 0.666 0.128
9 Pb 0.999 0.999 0.330

[16]
A plane-wave DFT calculation with PBE-GGA was carried out for a geometry-optimized Sn3HgPb2 structure.

## Properties
Density of states at the Fermi level   3.877 states/eV/cell
Energy above the most stable polymorph in this dataset   0 meV/atom
Space-group type   No. 11

a b c (Å): 6.988 3.529 13.914
angles (deg): 90.00 90.22 90.00
Atoms (fractional coordinates):
1 Sn 0.117 0.250 0.088
2 Sn 0.376 0.750 0.247
3 Sn 0.381 0.750 0.588
4 Sn 0.619 0.250 0.412
5 Sn 0.624 0.250 0.753
6 Sn 0.883 0.750 0.912
7 Hg 0.126 0.250 0.746
8 Hg 0.874 0.750 0.254
9 Pb 0.132 0.250 0.415
10 Pb 0.364 0.750 0.915
11 Pb 0.636 0.250 0.085
12 Pb 0.868 0.750 0.585

[17]
A plane-wave DFT calculation with PBE-GGA was carried out for a geometry-optimized Sn3HgPb2 structure.

## Properties
Density of states at the Fermi level   4.885 states/eV/cell
Energy above the most stable polymorph in this dataset   27 meV/atom
Space-group type   No. 51

a b c (Å): 6.228 6.284 8.968
angles (deg): 90.00 90.00 90.00
Atoms (fractional coordinates):
1 Sn 0.000 0.000 0.000
2 Sn 0.250 0.247 0.290
3 Sn 0.250 0.753 0.290
4 Sn 0.500 0.000 0.000
5 Sn 0.750 0.247 0.710
6 Sn 0.750 0.753 0.710
7 Hg 0.250 0.500 0.593
8 Hg 0.750 0.500 0.407
9 Pb 0.250 0.000 0.654
10 Pb 0.250 0.500 0.942
11 Pb 0.750 0.000 0.346
12 Pb 0.750 0.500 0.058

[18]
A plane-wave DFT calculation with PBE-GGA was carried out for a geometry-optimized Sn3HgPb structure.

## Properties
Density of states at the Fermi level   3.575 states/eV/cell
Energy above the most stable polymorph in this dataset   642 meV/atom
Space-group type   No. 221

a b c (Å): 5.880 5.880 5.880
angles (deg): 90.00 90.00 90.00
Atoms (fractional coordinates):
1 Sn 0.000 0.000 0.500
2 Sn 0.000 0.500 0.000
3 Sn 0.500 0.000 0.000
4 Hg 0.500 0.500 0.500
5 Pb 0.000 0.000 0.000

[19]
A plane-wave DFT calculation with PBE-GGA was carried out for a geometry-optimized SnHgPb structure.

## Properties
Density of states at the Fermi level   1.359 states/eV/cell
Energy above the most stable polymorph in this dataset   18 meV/atom
Space-group type   No. 156

a b c (Å): 5.315 5.315 3.451
angles (deg): 90.00 90.00 120.00
Atoms (fractional coordinates):
1 Sn 0.000 0.000 0.000
2 Hg 0.667 0.333 0.882
3 Pb 0.333 0.667 0.479

[20]
A plane-wave DFT calculation with PBE-GGA was carried out for a geometry-optimized Sn2HgPb structure.

## Properties
Density of states at the Fermi level   1.940 states/eV/cell
Energy above the most stable polymorph in this dataset   37 meV/atom
Space-group type   No. 225

a b c (Å): 5.409 5.409 5.409
angles (deg): 60.00 60.00 60.00
Atoms (fractional coordinates):
1 Sn 0.250 0.250 0.250
2 Sn 0.750 0.750 0.750
3 Hg 0.000 0.000 0.000
4 Pb 0.500 0.500 0.500

Number 1: volume 28.5 A^3/atom. Number 2: volume 29.0 A^3/atom. Number 3: volume 27.2 A^3/atom. Number 4: volume 29.5 A^3/atom. Number 5: volume 29.2 A^3/atom. Number 6: volume 29.7 A^3/atom. Number 7: volume 28.1 A^3/atom. Number 8: volume 28.1 A^3/atom. Number 9: volume 29.5 A^3/atom. Number 10: volume 31.0 A^3/atom. Number 11: volume 30.4 A^3/atom. Number 12: volume 37.3 A^3/atom. Number 13: volume 30.9 A^3/atom. Number 14: volume 28.9 A^3/atom. Number 15: volume 29.1 A^3/atom. Number 16: volume 28.6 A^3/atom. Number 17: volume 29.2 A^3/atom. Number 18: volume 40.7 A^3/atom. Number 19: volume 28.1 A^3/atom. Number 20: volume 28.0 A^3/atom.